[1]
! Tb3Si12Ru4, optimized geometry, DFT GGA-PBEsol; values from VASP
&SYSTEM
  ibrav = 0, nat = 38, ntyp = 3
/
ATOMIC_SPECIES
Tb 158.93 Tb.upf
Si 28.09 Si.upf
Ru 101.07 Ru.upf
CELL_PARAMETERS angstrom
9.1891 -4.0327 0.0000
9.1891 4.0327 0.0000
0.0000 0.0000 8.0701
ATOMIC_POSITIONS angstrom
Tb 0.0000 0.0000 0.0000
Tb 4.5946 1.9913 2.0175
Tb 4.5946 -1.9913 6.0526
Tb 9.1891 0.0000 4.0351
Tb 13.7837 1.9913 2.0175
Tb 13.7837 -1.9913 6.0526
Si 2.1512 0.0420 5.8852
Si 7.0384 2.1840 3.9855
Si 2.1512 -0.0420 2.1849
Si 7.0384 1.8487 8.0205
Si 9.1891 2.6797 5.3861
Si 3.7727 0.0000 4.0351
Si 5.4164 0.0000 0.0000
Si 9.1891 1.3529 1.3511
Si 11.3398 2.1840 3.9855
Si 7.0379 0.0420 6.2200
Si 7.0379 -0.0420 1.8501
Si 11.3398 1.8487 8.0205
Si 7.0384 -1.8487 0.0496
Si 11.3404 0.0420 6.2200
Si 11.3404 -0.0420 1.8501
Si 7.0384 -2.1840 4.0846
Si 9.1891 -1.3529 6.7190
Si 12.9619 0.0000 0.0000
Si 14.6056 0.0000 4.0351
Si 9.1891 -2.6797 2.6840
Si 11.3398 -1.8487 0.0496
Si 16.2271 0.0420 5.8852
Si 11.3398 -2.1840 4.0846
Si 16.2271 -0.0420 2.1849
Ru 9.1891 3.0148 3.0150
Ru 3.1123 0.0000 0.0000
Ru 6.0769 0.0000 4.0351
Ru 9.1891 1.0179 7.0500
Ru 9.1891 -1.0179 1.0201
Ru 12.3014 0.0000 4.0351
Ru 15.2660 0.0000 0.0000
Ru 9.1891 -3.0148 5.0552
! Space-group type: Cmce
! Crystal system: orthorhombic
! Theoretical density: 6.8 g/cm³
! Uncorrected formation energy: -714.4 meV/atom

[2]
! CaReTe2, optimized geometry, DFT GGA-PBEsol; values from VASP
&SYSTEM
  ibrav = 0, nat = 4, ntyp = 3
/
ATOMIC_SPECIES
Ca 40.08 Ca.upf
Re 186.21 Re.upf
Te 127.60 Te.upf
CELL_PARAMETERS angstrom
2.1203 1.2242 6.1543
-2.1203 1.2242 6.1543
0.0000 -2.4483 6.1543
ATOMIC_POSITIONS angstrom
Ca 0.0000 0.0000 0.0000
Re 0.0000 0.0000 9.2314
Te 0.0000 0.0000 4.2689
Te 0.0000 0.0000 14.1939
! Space-group type: R-3m
! Crystal system: trigonal
! Theoretical density: 8.3 g/cm³
! Uncorrected formation energy: -235.6 meV/atom
! ΔE to the lowest computed polymorph: 0.0000 eV/atom

[3]
! Na2RhN, optimized geometry, DFT GGA-PBEsol; values from VASP
&SYSTEM
  ibrav = 0, nat = 8, ntyp = 3
/
ATOMIC_SPECIES
Na 22.99 Na.upf
Rh 102.91 Rh.upf
N 14.01 N.upf
CELL_PARAMETERS angstrom
-4.9883 4.9883 1.8388
4.9883 -4.9883 1.8388
4.9883 4.9883 -1.8388
ATOMIC_POSITIONS angstrom
Na 0.0190 2.4941 0.4597
Na -2.4941 4.9693 1.3791
Na -0.0190 7.4824 0.4597
Na 2.4941 5.0073 1.3791
Rh 4.9883 0.0000 0.9194
Rh 0.0000 0.0000 1.8388
N 0.0000 0.0000 0.0000
N 0.0000 4.9883 0.9194
! Space-group type: I-42d
! Crystal system: tetragonal
! Theoretical density: 3.0 g/cm³
! Uncorrected formation energy: -55.3 meV/atom

[4]
! MnTe2P, optimized geometry, DFT GGA-PBEsol; values from VASP
&SYSTEM
  ibrav = 0, nat = 4, ntyp = 3
/
ATOMIC_SPECIES
Mn 54.94 Mn.upf
Te 127.60 Te.upf
P 30.97 P.upf
CELL_PARAMETERS angstrom
1.7725 1.0233 8.5694
-1.7725 1.0233 8.5694
0.0000 -2.0467 8.5694
ATOMIC_POSITIONS angstrom
Mn 0.0000 0.0000 0.0000
Te 0.0000 0.0000 10.1727
Te 0.0000 0.0000 15.5355
P 0.0000 0.0000 12.8541
! Space-group type: R-3m
! Crystal system: trigonal
! Theoretical density: 6.1 g/cm³
! Uncorrected formation energy: 387.7 meV/atom

[5]
! NiMoAs2, optimized geometry, DFT GGA-PBEsol; values from VASP
&SYSTEM
  ibrav = 0, nat = 4, ntyp = 3
/
ATOMIC_SPECIES
Ni 58.69 Ni.upf
Mo 95.94 Mo.upf
As 74.92 As.upf
CELL_PARAMETERS angstrom
4.2121 0.0000 0.0000
0.0000 4.2121 0.0000
0.0000 0.0000 3.1569
ATOMIC_POSITIONS angstrom
Ni 0.0000 0.0000 0.0000
Mo 2.1060 2.1060 0.0000
As 0.0000 2.1060 1.5784
As 2.1060 0.0000 1.5784
! Energy of formation from the pure elements: -1.0 kcal/mol of atoms
! Space-group type: P4/mmm
! Crystal system: tetragonal
! Theoretical density: 9.0 g/cm³

[6]
! NiRu5, optimized geometry, DFT GGA-PBEsol; values from VASP
&SYSTEM
  ibrav = 0, nat = 6, ntyp = 2
/
ATOMIC_SPECIES
Ni 58.69 Ni.upf
Ru 101.07 Ru.upf
CELL_PARAMETERS angstrom
4.2060 0.0000 0.0000
0.0000 1.3384 6.8694
0.0000 -1.3384 6.8694
ATOMIC_POSITIONS angstrom
Ni 0.0000 0.0000 0.0000
Ru 0.0000 0.0000 4.5749
Ru 0.0000 0.0000 9.1419
Ru 2.1030 0.0000 3.0461
Ru 2.1030 0.0000 7.5938
Ru 2.1030 0.0000 12.2381
! Energy of formation from the pure elements: 1.2 kcal/mol of atoms
! Space-group type: Amm2
! Crystal system: orthorhombic
! Theoretical density: 12.1 g/cm³
! ΔE to the lowest computed polymorph: 0.0000 eV/atom

> Look up the theoretical density of the third one.

3.0 g/cm³